A plane-wave DFT calculation with PBE was carried out for a geometry-optimized Nd2ErAl4Au3 structure.

Results
The calculated density is 8.66 g/cm³. Its density of states at the Fermi level is 6.329 states/eV per cell. The formation energy is -0.6276 eV per atom. As for the energy: -4.518 eV per atom. The spin magnetization comes out at 0.0 Bohr magnetons per cell.

Cell lengths 4.3424, 4.3424, 11.7362 Å; angles 90.00, 90.00, 90.00 degrees
Last column: nearest neighbours and their distance in Å.
Space group P-4m2 (No. 115)
One atom of each set of equivalent atoms:
Nd 0.0000 0.5000 0.2328 (multiplicity 2)  8 Al 3.29-3.49, 4 Au 3.34
Er 0.0000 0.0000 0.5000 (multiplicity 1)  4 Al 2.92, 4 Au 3.07
Al 0.0000 0.0000 0.0000 (multiplicity 1)  4 Au 2.60
Al 0.0000 0.5000 0.6658 (multiplicity 2)  1 Au 2.50
Al 0.5000 0.5000 0.0000 (multiplicity 1)  4 Au 2.60
Au 0.0000 0.5000 0.8787 (multiplicity 2)  5 Al 2.50-2.60
Au 0.5000 0.5000 0.5000 (multiplicity 1)  4 Al 2.92, 4 Er 3.07